1.
Compound: CsCaTlAuSe
Source: Alexandria via LeMat-Bulk
Functional: PBE
Structure: optimized geometry

The structure belongs to space group C2 (No. 5); the cell edges are 4.0672, 19.6525 and 4.1405 Å and the angles 90.00°, 90.14° and 90.00°. The distinct sites, in fractional coordinates, are Cs at (0.0000, 0.0000, 0.0000), Ca at (0.0000, 0.8134, 0.0000), Tl at (0.0000, 0.1766, 0.5000), Au at (0.0000, 0.6620, 0.0000) and Se at (0.0000, 0.3643, 0.5000).

Its uncorrected formation energy is -0.784 eV/atom.



2.
Compound: CsCaTlAuSe
Source: Alexandria via LeMat-Bulk
Functional: PBE
Structure: optimized geometry

The structure belongs to space group R3m (No. 160, hexagonal axes); the cell edges are 4.3421, 4.3421 and 32.3403 Å and the angles 90.00°, 90.00° and 120.00°. The distinct sites, in fractional coordinates, are Cs at (0.0000, 0.0000, 0.0000), Ca at (0.0000, 0.0000, 0.1210), Tl at (0.0000, 0.0000, 0.2333), Au at (0.0000, 0.0000, 0.8532) and Se at (0.0000, 0.0000, 0.4095).

Its uncorrected formation energy is -0.778 eV/atom.



3.
Compound: CsCaTlAuSe
Source: Alexandria via LeMat-Bulk
Functional: PBE
Structure: optimized geometry

The structure belongs to space group I4mm (No. 107); the cell edges are 3.8392, 3.8392 and 20.3115 Å and the angles 90.00°, 90.00° and 90.00°. The distinct sites, in fractional coordinates, are Cs at (0.0000, 0.0000, 0.0000), Ca at (0.0000, 0.0000, 0.1842), Tl at (0.0000, 0.0000, 0.3548), Au at (0.0000, 0.0000, 0.7820) and Se at (0.0000, 0.0000, 0.6221).

Its uncorrected formation energy is -0.814 eV/atom.



4.
Compound: CsCaTlAuSe
Source: Alexandria via LeMat-Bulk
Functional: PBE
Structure: optimized geometry

The structure belongs to space group Cm (No. 8); the cell edges are 12.5252, 4.1591 and 7.0713 Å and the angles 90.00°, 109.23° and 90.00°. The distinct sites, in fractional coordinates, are Cs at (0.0000, 0.0000, 0.0000), Ca at (0.1594, 0.0000, 0.6161), Tl at (0.2924, 0.5000, 0.3513), Au at (0.4688, 0.0000, 0.4268) and Se at (0.2100, 0.5000, 0.9037).

Its uncorrected formation energy is -0.693 eV/atom.



5.
Compound: CsCaTlAuSe
Source: Alexandria via LeMat-Bulk
Functional: PBE
Structure: optimized geometry

The structure belongs to space group Cm (No. 8); the cell edges are 20.1556, 4.0049 and 4.0046 Å and the angles 90.00°, 101.39° and 90.00°. The distinct sites, in fractional coordinates, are Cs at (0.0000, 0.0000, 0.0000), Ca at (0.1904, 0.0000, 0.1879), Tl at (0.3118, 0.5000, 0.8078), Au at (0.3537, 0.0000, 0.3495) and Se at (0.1356, 0.5000, 0.6337).

Its uncorrected formation energy is -0.783 eV/atom.



6.
Compound: CsCaTlAuSe
Source: Alexandria via LeMat-Bulk
Functional: PBE
Structure: optimized geometry

The structure belongs to space group P3m1 (No. 156); the cell edges are 4.4856, 4.4856 and 10.0678 Å and the angles 90.00°, 90.00° and 120.00°. The distinct sites, in fractional coordinates, are Cs at (0.0000, 0.0000, 0.0000), Ca at (0.3333, 0.6667, 0.6306), Tl at (0.6667, 0.3333, 0.3088), Au at (0.0000, 0.0000, 0.4374) and Se at (0.6667, 0.3333, 0.7649).

Its uncorrected formation energy is -0.822 eV/atom.



7.
Compound: CsCaTlAuSe
Source: Alexandria via LeMat-Bulk
Functional: PBE
Structure: optimized geometry

The structure belongs to space group P3m1 (No. 156); the cell edges are 4.3739, 4.3739 and 10.5503 Å and the angles 90.00°, 90.00° and 120.00°. The distinct sites, in fractional coordinates, are Cs at (0.0000, 0.0000, 0.0000), Ca at (0.0000, 0.0000, 0.3730), Tl at (0.3333, 0.6667, 0.7002), Au at (0.6667, 0.3333, 0.5614) and Se at (0.6667, 0.3333, 0.2345).

Its uncorrected formation energy is -0.789 eV/atom.



8.
Compound: CsCaTlAuSe
Source: Alexandria via LeMat-Bulk
Functional: PBE
Structure: optimized geometry

The structure belongs to space group P3m1 (No. 156); the cell edges are 4.5604, 4.5604 and 9.9144 Å and the angles 90.00°, 90.00° and 120.00°. The distinct sites, in fractional coordinates, are Cs at (0.0000, 0.0000, 0.0000), Ca at (0.3333, 0.6667, 0.6254), Tl at (0.0000, 0.0000, 0.4002), Au at (0.3333, 0.6667, 0.2881) and Se at (0.6667, 0.3333, 0.7472).

Its uncorrected formation energy is -0.765 eV/atom.